No. 1
Computed, not measured: a geometry-optimized Zn5Cd12Hg3 structure at the PBE level of DFT.

Summary:
calculated formation energy = 0.213 eV/atom

POSCAR file:
```
Zn5Cd12Hg3
1.0
14.2019 0.0000 0.0000
-4.7340 13.3897 0.0000
-4.7340 -6.6948 11.5958
Hg Zn Cd
12 20 48
Direct
0.7500 0.3750 0.1250
0.8750 0.7500 0.1250
0.3750 0.7500 0.6250
0.2500 0.1250 0.3750
0.8750 0.1250 0.2500
0.3750 0.6250 0.2500
0.6250 0.3750 0.7500
0.1250 0.8750 0.7500
0.7500 0.8750 0.6250
0.6250 0.2500 0.3750
0.1250 0.2500 0.8750
0.2500 0.6250 0.8750
0.1250 0.3750 0.2500
0.0000 0.5000 0.0000
0.0000 0.0000 0.0000
0.3750 0.2500 0.1250
0.5000 0.0000 0.5000
0.5000 0.5000 0.0000
0.1250 0.7500 0.3750
0.7500 0.1250 0.8750
0.7500 0.6250 0.3750
0.3750 0.1250 0.7500
0.6250 0.8750 0.2500
0.5000 0.5000 0.5000
0.5000 0.0000 0.0000
0.0000 0.0000 0.5000
0.2500 0.3750 0.6250
0.2500 0.8750 0.1250
0.0000 0.5000 0.5000
0.8750 0.2500 0.6250
0.6250 0.7500 0.8750
0.8750 0.6250 0.7500
0.7232 0.1288 0.0552
0.3320 0.5552 0.4264
0.9448 0.3712 0.2768
0.5552 0.2232 0.1288
0.5944 0.7232 0.6680
0.9448 0.5736 0.1680
0.3320 0.7768 0.4056
0.0736 0.9056 0.1288
0.5736 0.9448 0.6680
0.7232 0.5944 0.1680
0.7768 0.4448 0.3712
0.8320 0.9264 0.0552
0.1288 0.7232 0.5552
0.3712 0.4264 0.0944
0.0944 0.9264 0.3712
0.4056 0.1288 0.5736
0.0944 0.1680 0.2232
0.4448 0.6680 0.0736
0.8320 0.9056 0.2768
0.1288 0.4056 0.0736
0.3712 0.9448 0.7768
0.5736 0.6288 0.4056
0.9264 0.8320 0.5552
0.7768 0.3320 0.9056
0.4264 0.3712 0.5944
0.0736 0.1680 0.4448
0.2232 0.6680 0.0944
0.1680 0.0944 0.7232
0.6288 0.0552 0.2232
0.8712 0.5944 0.9264
0.5552 0.3320 0.9264
0.5944 0.8712 0.4264
0.9056 0.8320 0.7768
0.9056 0.0736 0.6288
0.8712 0.2768 0.4448
0.1680 0.0736 0.9448
0.6288 0.5736 0.9056
0.4264 0.0552 0.3320
0.2768 0.4056 0.8320
0.2232 0.5552 0.6288
0.9264 0.0944 0.8712
0.6680 0.2232 0.5944
0.4448 0.7768 0.8712
0.0552 0.4264 0.8320
0.4056 0.2768 0.3320
0.0552 0.6288 0.7232
0.6680 0.4448 0.5736
0.2768 0.8712 0.9448
```

No. 2
Computed, not measured: a geometry-optimized Os2RuW structure at the PBE level of DFT.

Summary:
energy relative to the lowest polymorph listed for this composition = 32 meV/atom
calculated formation energy = 0.026 eV/atom

POSCAR file:
```
Os2RuW
1.0
-2.6611 1.7914 -3.5289
-4.3837 0.9582 1.6150
4.3185 1.1586 1.6338
Ru Os W
1 2 1
Direct
0.4996 0.5005 0.0000
0.0003 0.9998 0.0000
0.7505 0.2497 0.5000
0.2498 0.7503 0.5000
```

No. 3
Computed, not measured: a geometry-optimized BaLi2MgTl4 structure at the PBE level of DFT.

Summary:
calculated formation energy = -0.250 eV/atom

POSCAR file:
```
BaLi2MgTl4
1.0
4.9342 0.0000 0.0000
2.4671 4.2731 0.0000
2.4671 1.4244 10.5375
Ba Li Mg Tl
1 2 1 4
Direct
0.0000 0.0000 0.0000
0.7776 0.7776 0.6673
0.2224 0.2224 0.3327
0.5000 0.5000 0.5000
0.4026 0.4026 0.7923
0.8778 0.8778 0.3667
0.1222 0.1222 0.6333
0.5974 0.5974 0.2077
```

No. 4
Computed, not measured: a geometry-optimized FeHgPb2 structure at the PBE level of DFT.

Summary:
calculated formation energy = 0.332 eV/atom

POSCAR file:
```
FeHgPb2
1.0
3.4549 0.0000 0.0000
0.0000 3.2112 -0.2397
0.0000 1.4501 9.1643
Fe Hg Pb
1 1 2
Direct
0.5000 0.2500 0.2500
0.5000 0.7500 0.7500
0.0000 0.7961 0.0595
0.0000 0.7039 0.4405
```

No. 5
Computed, not measured: a geometry-optimized ThMgZn structure at the PBE level of DFT.

Summary:
calculated formation energy = -0.082 eV/atom

POSCAR file:
```
ThMgZn
1.0
-2.7809 1.1720 -1.5702
0.9305 -2.9333 -3.8372
-2.7827 -1.6218 3.7176
Zn Mg Th
1 1 1
Direct
0.1661 0.3333 0.6667
0.1672 0.0000 0.0000
0.6667 0.6667 0.3333
```

No. 6
Computed, not measured: a geometry-optimized PrY4Tl structure at the PBE level of DFT.

Summary:
energy relative to the lowest polymorph listed for this composition = 0 meV/atom
calculated formation energy = -0.118 eV/atom

POSCAR file:
```
PrY4Tl
1.0
3.6441 0.0000 0.0000
0.0000 3.6441 0.0000
0.0000 0.0000 14.2940
Pr Y Tl
1 4 1
Direct
0.0000 0.0000 0.0000
0.5000 0.5000 0.1795
0.0000 0.0000 0.6448
0.0000 0.0000 0.3552
0.5000 0.5000 0.8205
0.5000 0.5000 0.5000
```

No. 7
Computed, not measured: a geometry-optimized MnGaAu3 structure at the PBE level of DFT.

Summary:
energy relative to the lowest polymorph listed for this composition = 983 meV/atom
calculated formation energy = 0.878 eV/atom

POSCAR file:
```
MnGaAu3
1.0
4.7991 0.0000 0.0000
0.0000 4.7991 0.0000
0.0000 0.0000 4.7991
Mn Au Ga
1 3 1
Direct
0.0000 0.0000 0.0000
0.0000 0.5000 0.0000
0.0000 0.0000 0.5000
0.5000 0.0000 0.0000
0.5000 0.5000 0.5000
```

No. 8
Computed, not measured: a geometry-optimized Pu5NpSb6 structure at the PBE level of DFT.

Summary:
raw formation energy = -0.5034 eV per atom

POSCAR file:
```
Pu5NpSb6
1.0
-1.2024 0.8429 -4.1711
0.9038 -14.6013 -0.8671
-5.0620 6.7233 5.1619
Np Sb Pu
1 6 5
Direct
0.0000 0.0000 0.0000
0.2477 0.0824 0.4131
0.7499 0.5832 0.9167
0.7481 0.2483 0.2478
0.2519 0.7517 0.7522
0.2501 0.4168 0.0833
0.7523 0.9176 0.5869
0.4991 0.1668 0.8313
0.0010 0.3338 0.6681
0.5000 0.5000 0.5000
0.9990 0.6662 0.3319
0.5009 0.8332 0.1687
```

No. 9
Computed, not measured: a geometry-optimized LiNbI2 structure at the PBE level of DFT.

Summary:
raw formation energy = 0.0934 eV per atom
energy relative to the lowest polymorph listed for this composition = 15 meV/atom

POSCAR file:
```
LiNbI2
1.0
3.2109 -3.6870 -1.0228
-0.7792 -4.5747 1.8480
-1.3587 -3.7234 -3.0397
I Nb Li
2 1 1
Direct
0.2500 0.2500 0.2500
0.7500 0.7500 0.7500
0.5000 0.5000 0.5000
0.0000 0.0000 0.0000
```

No. 10
Computed, not measured: a geometry-optimized Cd2SiO4 structure at the PBE level of DFT.

Summary:
raw formation energy = -1.4239 eV per atom
energy relative to the lowest polymorph listed for this composition = 405 meV/atom

POSCAR file:
```
Cd2SiO4
1.0
-4.3075 -0.8949 4.4068
5.6596 -1.6450 5.1979
0.4172 7.6009 1.9514
Cd Si O
8 4 16
Direct
0.5000 0.1778 0.1778
0.0000 0.1778 0.8222
0.0000 0.8222 0.1778
0.5000 0.8222 0.8222
0.5000 0.6778 0.3222
0.0000 0.6778 0.6778
0.5000 0.3222 0.6778
0.0000 0.3222 0.3222
0.1777 0.0000 0.5000
0.6777 0.0000 0.5000
0.8223 0.5000 0.0000
0.3223 0.5000 0.0000
0.1702 0.2121 0.5543
0.6702 0.2121 0.4457
0.1702 0.0543 0.2879
0.6702 0.0543 0.7121
0.6702 0.9457 0.2879
0.1702 0.9457 0.7121
0.6702 0.7879 0.5543
0.1702 0.7879 0.4457
0.3298 0.7121 0.0543
0.8298 0.7121 0.9457
0.3298 0.5543 0.7879
0.8298 0.5543 0.2121
0.8298 0.4457 0.7879
0.3298 0.4457 0.2121
0.8298 0.2879 0.0543
0.3298 0.2879 0.9457
```

No. 11
Computed, not measured: a geometry-optimized GeP2OsCl structure at the PBE level of DFT.

Summary:
raw formation energy = 0.5979 eV per atom
energy relative to the lowest polymorph listed for this composition = 0 meV/atom

POSCAR file:
```
GeP2OsCl
1.0
-0.8595 -0.7911 -4.3786
3.8095 -2.4351 -0.3079
-2.6067 -4.2396 1.2777
P Ge Os Cl
2 1 1 1
Direct
0.0000 0.5000 0.0000
0.5000 0.0000 0.0000
0.5000 0.5000 0.5000
0.0000 0.0000 0.0000
0.0000 0.0000 0.5000
```

No. 12
Computed, not measured: a geometry-optimized LaMnSi2 structure at the PBE level of DFT.

Summary:
raw formation energy = -0.1205 eV per atom

POSCAR file:
```
LaMnSi2
1.0
-2.6790 0.6831 1.5661
1.2070 -1.3049 2.6338
2.6048 6.0645 1.8108
La Mn Si
1 1 2
Direct
0.0000 0.0000 0.5112
0.5000 0.5000 0.8407
0.0000 0.0000 0.9702
0.5000 0.5000 0.1779
```

Ordered electronic total energy results: -0.699, -11.146, -2.352, -3.713, -3.512, -5.619, -3.528, -9.615, -3.678, -5.293, -5.105, -6.356; unit eV/atom.
Ordered spin magnetization results: 0.000, 0.000, 0.000, 0.616, 0.000, 0.000, 0.000, 0.983, 0.000, 0.000, 0.000, 0.000; unit μB/atom.